Entry 1:
First-principles (GGA-PBE) data for crystalline RbPuInO6 at its relaxed geometry, as listed in Alexandria.

Volume: 172 Å³/cell
Formation energy (no corrections): -1.773 eV/atom

Cell: 5.6247 5.6247 6.2941 Å, 90.00 90.00 120.00°
Last column: nearest neighbours and their distance in Å.
Space group P312 (No. 149)
Symmetry-distinct sites (fractional):
Rb: 0.0000 0.0000 0.0000 (multiplicity 1)  6 O 2.94
Pu: 0.6667 0.3333 0.5000 (multiplicity 1)  6 O 1.99
In: 0.3333 0.6667 0.5000 (multiplicity 1)  6 O 2.20
O: 0.3958 0.0277 0.6814 (multiplicity 6)  1 Pu 1.99, 1 In 2.20



Entry 2:
First-principles (GGA-PBE) data for crystalline PuInRhO6 at its relaxed geometry, as listed in Alexandria.

Fermi-level density of states: 6.64 states/eV/f.u.
Volume: 231 Å³/cell
Formation energy (no corrections): -1.733 eV/atom

Cell: 5.2424 5.2424 9.7072 Å, 90.00 90.00 120.00°
Last column: nearest neighbours and their distance in Å.
Space group P-31c (No. 163)
Symmetry-distinct sites (fractional):
Pu: 0.3333 0.6667 0.2500 (multiplicity 2)  6 O 2.10
In: 0.0000 0.0000 0.0000 (multiplicity 2)  6 O 2.20
Rh: 0.3333 0.6667 0.7500 (multiplicity 2)  6 O 2.04
O: 0.0085 0.3472 0.6314 (multiplicity 12)  1 Rh 2.04, 1 Pu 2.10, 1 In 2.20



Entry 3:
First-principles (GGA-PBE) data for crystalline PuIn2RhO8 at its relaxed geometry, as listed in Alexandria.

Fermi-level density of states: 8.05 states/eV/f.u.
Volume: 158 Å³/cell
Formation energy (no corrections): -1.594 eV/atom

Cell: 4.9455 6.4670 4.9500 Å, 90.00 92.09 90.00°
Last column: nearest neighbours and their distance in Å.
Space group P2/m (No. 10)
Symmetry-distinct sites (fractional):
Pu: 0.0000 0.0000 0.0000 (multiplicity 1)  6 O 2.07-2.09
In: 0.5000 0.2575 0.5000 (multiplicity 2)  6 O 2.14-2.25
Rh: 0.0000 0.5000 0.0000 (multiplicity 1)  6 O 1.98-2.07
O: 0.1846 0.2522 0.8172 (multiplicity 4)  1 Rh 2.07, 1 Pu 2.09, 1 In 2.25
O: 0.2878 0.5000 0.2894 (multiplicity 2)  1 Rh 1.98, 2 In 2.14
O: 0.3005 0.0000 0.3026 (multiplicity 2)  1 Pu 2.07, 2 In 2.15



Entry 4:
First-principles (GGA-PBE) data for crystalline PuInRuO6 at its relaxed geometry, as listed in Alexandria.

Fermi-level density of states: 5.84 states/eV/f.u.
Volume: 226 Å³/cell
Formation energy (no corrections): -1.645 eV/atom

Cell: 5.4126 5.4126 8.9134 Å, 90.00 90.00 120.00°
Last column: nearest neighbours and their distance in Å.
Space group P-31c (No. 163)
Symmetry-distinct sites (fractional):
Pu: 0.3333 0.6667 0.2500 (multiplicity 2)  6 O 2.14
In: 0.3333 0.6667 0.7500 (multiplicity 2)  6 O 2.21
Ru: 0.0000 0.0000 0.0000 (multiplicity 2)  6 O 2.03
O: 0.0110 0.3219 0.1223 (multiplicity 12)  1 Ru 2.03, 1 Pu 2.14, 1 In 2.21



Entry 5:
First-principles (GGA-PBE) data for crystalline PuSc2InO8 at its relaxed geometry, as listed in Alexandria.

Volume: 158 Å³/cell
Formation energy (no corrections): -2.604 eV/atom

Cell: 4.8778 6.6227 4.8803 Å, 90.00 92.03 90.00°
Last column: nearest neighbours and their distance in Å.
Space group P2/m (No. 10)
Symmetry-distinct sites (fractional):
Pu: 0.0000 0.0000 0.0000 (multiplicity 1)  6 O 2.00-2.04
Sc: 0.5000 0.2636 0.5000 (multiplicity 2)  6 O 2.04-2.23
In: 0.0000 0.5000 0.0000 (multiplicity 1)  6 O 2.08-2.27
O: 0.1965 0.2270 0.8050 (multiplicity 4)  1 Pu 2.04, 1 Sc 2.15, 1 In 2.27
O: 0.2936 0.0000 0.2952 (multiplicity 2)  1 Pu 2.00, 2 Sc 2.23
O: 0.3070 0.5000 0.3083 (multiplicity 2)  2 Sc 2.04, 1 In 2.08



Entry 6:
First-principles (GGA-PBE) data for crystalline PuScInO6 at its relaxed geometry, as listed in Alexandria.

Fermi-level density of states: 5.97 states/eV/f.u.
Volume: 240 Å³/cell
Formation energy (no corrections): -2.446 eV/atom

Cell: 5.4823 5.4823 9.2065 Å, 90.00 90.00 120.00°
Last column: nearest neighbours and their distance in Å.
Space group P-31c (No. 163)
Symmetry-distinct sites (fractional):
Pu: 0.3333 0.6667 0.2500 (multiplicity 2)  6 O 2.07
Sc: 0.3333 0.6667 0.7500 (multiplicity 2)  6 O 2.12
In: 0.0000 0.0000 0.0000 (multiplicity 2)  6 O 2.25
O: 0.0071 0.3468 0.1330 (multiplicity 12)  1 Pu 2.07, 1 Sc 2.12, 1 In 2.25



Entry 7:
First-principles (GGA-PBE) data for crystalline PuInSnO6 at its relaxed geometry, as listed in Alexandria.

Fermi-level density of states: 8.69 states/eV/f.u.
Volume: 244 Å³/cell
Formation energy (no corrections): -1.908 eV/atom

Cell: 5.5012 5.5012 9.3237 Å, 90.00 90.00 120.00°
Last column: nearest neighbours and their distance in Å.
Space group P-31c (No. 163)
Symmetry-distinct sites (fractional):
Pu: 0.3333 0.6667 0.2500 (multiplicity 2)  6 O 2.15
In: 0.0000 0.0000 0.0000 (multiplicity 2)  6 O 2.23
Sn: 0.3333 0.6667 0.7500 (multiplicity 2)  6 O 2.11
O: 0.0063 0.3438 0.6304 (multiplicity 12)  1 Sn 2.11, 1 Pu 2.15, 1 In 2.23



Entry 8:
First-principles (GGA-PBE) data for crystalline Sr2PuInO6 at its relaxed geometry, as listed in Alexandria.

Fermi-level density of states: 10.38 states/eV/f.u.
Volume: 299 Å³/cell
Formation energy (no corrections): -2.588 eV/atom

Cell: 5.9039 6.0178 10.2592 Å, 90.00 125.01 90.00°
Last column: nearest neighbours and their distance in Å.
Space group P2_1/c (No. 14)
Symmetry-distinct sites (fractional):
Sr: 0.2391 0.0426 0.2491 (multiplicity 4)  5 O 2.52-2.82
Pu: 0.5000 0.0000 0.0000 (multiplicity 2)  6 O 2.14-2.15
In: 0.0000 0.0000 0.5000 (multiplicity 2)  6 O 2.20-2.21
O: 0.1641 0.2031 0.9544 (multiplicity 4)  1 Pu 2.14, 1 In 2.21
O: 0.2501 0.7116 0.9517 (multiplicity 4)  1 Pu 2.14, 1 In 2.21
O: 0.3425 0.0309 0.7533 (multiplicity 4)  1 Pu 2.15, 1 In 2.20



Entry 9:
First-principles (GGA-PBE) data for crystalline SrPu2InO8 at its relaxed geometry, as listed in Alexandria.

Fermi-level density of states: 9.94 states/eV/f.u.
Volume: 317 Å³/cell
Formation energy (no corrections): -2.361 eV/atom

Cell: 5.4549 5.4549 10.6401 Å, 90.00 90.00 90.00°
Last column: nearest neighbours and their distance in Å.
Space group I-4 (No. 82)
Symmetry-distinct sites (fractional):
Sr: 0.0000 0.0000 0.0000 (multiplicity 2)  8 O 2.43-2.55
Pu: 0.0000 0.0000 0.5000 (multiplicity 2)  8 O 2.17-2.36
Pu: 0.0000 0.5000 0.7500 (multiplicity 2)  8 O 2.19-2.36
In: 0.0000 0.5000 0.2500 (multiplicity 2)  4 O 2.15
O: 0.1927 0.7336 0.6147 (multiplicity 8)  2 Pu 2.17-2.19
O: 0.2182 0.7500 0.3583 (multiplicity 8)  1 In 2.15, 2 Pu 2.36



Entry 10:
First-principles (GGA-PBE) data for crystalline SrPuInO6 at its relaxed geometry, as listed in Alexandria.

Volume: 290 Å³/cell
Formation energy (no corrections): -2.254 eV/atom

Cell: 5.5679 5.5679 10.8142 Å, 90.00 90.00 120.00°
Last column: nearest neighbours and their distance in Å.
Space group P-31c (No. 163)
Symmetry-distinct sites (fractional):
Sr: 0.0000 0.0000 0.0000 (multiplicity 2)  6 O 2.56
Pu: 0.3333 0.6667 0.2500 (multiplicity 2)  6 O 2.03
In: 0.3333 0.6667 0.7500 (multiplicity 2)  6 O 2.20
O: 0.0243 0.3746 0.1446 (multiplicity 12)  1 Pu 2.03, 1 In 2.20



Entry 11:
First-principles (GGA-PBE) data for crystalline PuTaInO6 at its relaxed geometry, as listed in Alexandria.

Fermi-level density of states: 3.63 states/eV/f.u.
Volume: 245 Å³/cell
Formation energy (no corrections): -2.480 eV/atom

Cell: 5.4054 5.4054 9.6671 Å, 90.00 90.00 120.00°
Last column: nearest neighbours and their distance in Å.
Space group P-31c (No. 163)
Symmetry-distinct sites (fractional):
Pu: 0.0000 0.0000 0.0000 (multiplicity 2)  6 O 2.26
Ta: 0.3333 0.6667 0.2500 (multiplicity 2)  6 O 2.01
In: 0.3333 0.6667 0.7500 (multiplicity 2)  6 O 2.20
O: 0.0265 0.3561 0.1336 (multiplicity 12)  1 Ta 2.01, 1 In 2.20



Entry 12:
First-principles (GGA-PBE) data for crystalline TbPuInO6 at its relaxed geometry, as listed in Alexandria.

Fermi-level density of states: 7.33 states/eV/f.u.
Volume: 262 Å³/cell
Formation energy (no corrections): -2.483 eV/atom

Cell: 5.5299 5.5299 9.8855 Å, 90.00 90.00 120.00°
Last column: nearest neighbours and their distance in Å.
Space group P-31c (No. 163)
Symmetry-distinct sites (fractional):
Tb: 0.0000 0.0000 0.0000 (multiplicity 2)  6 O 2.32
Pu: 0.3333 0.6667 0.2500 (multiplicity 2)  6 O 2.08
In: 0.3333 0.6667 0.7500 (multiplicity 2)  6 O 2.20
O: 0.0168 0.3533 0.1341 (multiplicity 12)  1 Pu 2.08, 1 In 2.20, 1 Tb 2.32



Entry 13:
First-principles (GGA-PBE) data for crystalline PuInTeO6 at its relaxed geometry, as listed in Alexandria.

Fermi-level density of states: 9.58 states/eV/f.u.
Volume: 252 Å³/cell
Formation energy (no corrections): -1.691 eV/atom

Cell: 5.5538 5.5538 9.4280 Å, 90.00 90.00 120.00°
Last column: nearest neighbours and their distance in Å.
Space group P-31c (No. 163)
Symmetry-distinct sites (fractional):
Pu: 0.3333 0.6667 0.2500 (multiplicity 2)  6 O 2.16
In: 0.3333 0.6667 0.7500 (multiplicity 2)  6 O 2.22
Te: 0.0000 0.0000 0.0000 (multiplicity 2)  6 O 2.20
O: 0.0081 0.3358 0.1273 (multiplicity 12)  1 Pu 2.16, 1 Te 2.20, 1 In 2.22



Entry 14:
First-principles (GGA-PBE) data for crystalline PuTiInO6 at its relaxed geometry, as listed in Alexandria.

Fermi-level density of states: 8.18 states/eV/f.u.
Volume: 231 Å³/cell
Formation energy (no corrections): -2.426 eV/atom

Cell: 5.3942 5.3942 9.1819 Å, 90.00 90.00 120.00°
Last column: nearest neighbours and their distance in Å.
Space group P-31c (No. 163)
Symmetry-distinct sites (fractional):
Pu: 0.3333 0.6667 0.2500 (multiplicity 2)  6 O 2.13
Ti: 0.3333 0.6667 0.7500 (multiplicity 2)  6 O 1.99
In: 0.0000 0.0000 0.0000 (multiplicity 2)  6 O 2.24
O: 0.0201 0.3572 0.6341 (multiplicity 12)  1 Ti 1.99, 1 Pu 2.13



Entry 15:
First-principles (GGA-PBE) data for crystalline Pu3Tl2InO12 at its relaxed geometry, as listed in Alexandria.

Fermi-level density of states: 7.56 states/eV/f.u.
Volume: 1020 Å³/cell
Formation energy (no corrections): -2.025 eV/atom

Cell: 7.9805 7.9805 18.5017 Å, 90.00 90.00 120.00°
Last column: nearest neighbours and their distance in Å.
Space group R-3m (No. 166, hexagonal axes)
Symmetry-distinct sites (fractional):
Pu: 0.0000 0.5000 0.0000 (multiplicity 9)  6 O 1.94-2.10
Tl: 0.0000 0.0000 0.1705 (multiplicity 6)  6 O 3.02-3.08
In: 0.0000 0.0000 0.5000 (multiplicity 3)  6 O 2.18
O: 0.0712 0.5356 0.1016 (multiplicity 18)  1 Pu 1.94, 1 In 2.18
O: 0.0916 0.5458 0.3561 (multiplicity 18)  2 Pu 2.10



Entry 16:
First-principles (GGA-PBE) data for crystalline PuTl2InO6 at its relaxed geometry, as listed in Alexandria.

Fermi-level density of states: 0.06 states/eV/f.u.
Volume: 621 Å³/cell
Formation energy (no corrections): -1.603 eV/atom

Cell: 8.5336 8.5336 8.5336 Å, 90.00 90.00 90.00°
Last column: nearest neighbours and their distance in Å.
Space group Fm-3m (No. 225)
Symmetry-distinct sites (fractional):
Pu: 0.0000 0.0000 0.0000 (multiplicity 4)  6 O 2.03
Tl: 0.2500 0.2500 0.2500 (multiplicity 8)  12 O 3.02
In: 0.0000 0.0000 0.5000 (multiplicity 4)  6 O 2.23
O: 0.0000 0.0000 0.2384 (multiplicity 24)  1 Pu 2.03, 1 In 2.23



Entry 17:
First-principles (GGA-PBE) data for crystalline Pu3Tl4InO12 at its relaxed geometry, as listed in Alexandria.

Fermi-level density of states: 9.51 states/eV/f.u.
Volume: 633 Å³/cell
Formation energy (no corrections): -1.898 eV/atom

Cell: 8.5859 8.5859 8.5859 Å, 90.00 90.00 90.00°
Last column: nearest neighbours and their distance in Å.
Space group Im-3m (No. 229)
Symmetry-distinct sites (fractional):
Pu: 0.0000 0.0000 0.5000 (multiplicity 6)  6 O 2.03-2.15
Tl: 0.2500 0.2500 0.2500 (multiplicity 8)  12 O 3.04
In: 0.0000 0.0000 0.0000 (multiplicity 2)  6 O 2.26
O: 0.0000 0.0000 0.2631 (multiplicity 12)  1 Pu 2.03, 1 In 2.26
O: 0.0000 0.2500 0.5000 (multiplicity 12)  2 Pu 2.15